[1]
Below is SrLi2CaAs2 after structural relaxation, with properties calculated at the GGA-PBE level.

Cell: 4.4659 4.4659 7.7839 Å, 90.00 90.00 120.00°
Closest atoms and distances in Å follow each position.
Positions (direct):
Sr 0.0000 0.0000 0.0000  6 As 3.31, 6 Li 3.42
Li 0.3333 0.6667 0.7107  3 As 2.58
Li 0.6667 0.3333 0.2893  3 As 2.58
Ca 0.0000 0.0000 0.5000  6 Li 3.06, 6 As 3.15
As 0.3333 0.6667 0.2670  3 Li 2.58
As 0.6667 0.3333 0.7330  3 Li 2.58

space group: P-3m1
DFT formation energy: -1034 meV/atom



[2]
Below is YSb5 after structural relaxation, with properties calculated at the GGA-PBE level.

Cell: 6.0923 6.0923 5.6278 Å, 90.00 90.00 120.00°
Closest atoms and distances in Å follow each position.
Positions (direct):
Y 0.0000 0.0000 0.0000  6 Sb 3.52
Sb 0.0000 0.5000 0.5000  8 Sb 3.05-3.32
Sb 0.3333 0.6667 0.0000  9 Sb 3.32-3.52, 3 Y 3.52
Sb 0.5000 0.0000 0.5000  8 Sb 3.05-3.32
Sb 0.5000 0.5000 0.5000  8 Sb 3.05-3.32
Sb 0.6667 0.3333 0.0000  9 Sb 3.32-3.52, 3 Y 3.52

space group: P6/mmm
E above lowest polymorph: 0.335 eV per atom
E_form (uncorrected): 0.117 eV/atom



[3]
Below is Ni2IrOs after structural relaxation, with properties calculated at the GGA-PBE level.

Cell: 4.2219 4.2219 2.8343 Å, 90.00 90.00 90.00°
Closest atoms and distances in Å follow each position.
Positions (direct):
Ni 0.0000 0.5000 0.0000  4 Os 2.54, 4 Ir 2.54, 2 Ni 2.83
Ni 0.5000 0.0000 0.0000  4 Os 2.54, 4 Ir 2.54, 2 Ni 2.83
Ir 0.0000 0.0000 0.5000  8 Ni 2.54, 2 Ir 2.83
Os 0.5000 0.5000 0.5000  8 Ni 2.54, 2 Os 2.83

space group: P4/mmm
DFT formation energy: 228 meV/atom
E above lowest polymorph: 0.210 eV per atom